(1)
W3SCl after structural relaxation, computed with PBE.

abc: 4.492 4.492 4.492
angles: 90.00 90.00 90.00
Fractional coordinates of all 5 atoms:
W: 0.000 0.500 0.000
W: 0.500 0.000 0.000
W: 0.000 0.000 0.500
S: 0.000 0.000 0.000
Cl: 0.500 0.500 0.500

Output
E_form (uncorrected)   1.548 eV/atom
Space group   Pm-3m, No. 221

(2)
Dy2Th4Rh9 after structural relaxation, computed with PBE.

abc: 4.643 4.643 17.085
angles: 90.00 90.00 120.00
Fractional coordinates of all 15 atoms:
Rh: 0.667 0.333 0.418
Rh: 0.333 0.667 0.582
Rh: 0.000 0.000 0.164
Rh: 0.000 0.000 0.330
Rh: 0.000 0.000 0.670
Rh: 0.667 0.333 0.069
Rh: 0.000 0.000 0.836
Rh: 0.000 0.000 0.500
Rh: 0.333 0.667 0.931
Th: 0.333 0.667 0.103
Th: 0.667 0.333 0.596
Th: 0.667 0.333 0.897
Th: 0.333 0.667 0.404
Dy: 0.667 0.333 0.249
Dy: 0.333 0.667 0.751

Output
Energy relative to the elements   -74.5 kJ per mole of atoms
Space group   P-3m1, No. 164

(3)
SiHg after structural relaxation, computed with PBE.

abc: 8.450 9.241 6.949
angles: 90.00 90.00 90.00
Fractional coordinates of all 16 atoms:
Si: 0.499 0.887 0.078
Si: 0.001 0.613 0.578
Si: 0.499 0.113 0.922
Si: 0.501 0.113 0.578
Si: 0.999 0.387 0.078
Si: 0.999 0.613 0.922
Si: 0.501 0.887 0.422
Si: 0.001 0.387 0.422
Hg: 0.252 0.750 0.501
Hg: 0.252 0.250 0.499
Hg: 0.748 0.250 0.001
Hg: 0.752 0.250 0.501
Hg: 0.748 0.750 0.999
Hg: 0.248 0.750 0.001
Hg: 0.248 0.250 0.999
Hg: 0.752 0.750 0.499

Output
E_form (uncorrected)   0.223 eV/atom
Space group   C222_1, No. 20

no.,total moment (μB per formula unit),uncorrected energy (eV/atom)
1,0.0,-7.419
2,0.0,-7.775
3,0.0,-2.639